No. 1
First-principles (PBE) data for ThHgPdRu after structural relaxation, as listed in Alexandria.

Cell lengths 6.8663, 6.8663, 6.8663 Å; angles 90.00, 90.00, 90.00 degrees
With the nearest neighbours (Å) after each atom.
Space group F-43m (No. 216)
Asymmetric unit:
Th1 0.0000 0.0000 0.0000  4 Pd 2.97, 4 Ru 2.97
Hg1 0.0000 0.0000 0.5000  4 Ru 2.97, 4 Pd 2.97
Pd1 0.2500 0.2500 0.2500  4 Hg 2.97, 4 Th 2.97
Ru1 0.2500 0.2500 0.7500  4 Hg 2.97, 4 Th 2.97

Calculated values
- Fermi-level density of states (states/eV/f.u.) = 2.04
- E_form (eV per atom) = -0.32


No. 2
First-principles (PBE) data for TiHgPdRu2 after structural relaxation, as listed in Alexandria.

Cell lengths 4.8170, 4.8170, 4.5827 Å; angles 90.00, 90.00, 90.00 degrees
With the nearest neighbours (Å) after each atom.
Space group P4/mmm (No. 123)
Asymmetric unit:
Ti1 0.0000 0.0000 0.0000  2 Pd 2.29
Hg1 0.5000 0.5000 0.0000  8 Ru 3.32, 4 Ti 3.41
Pd1 0.0000 0.0000 0.5000  2 Ti 2.29, 4 Ru 2.41
Ru1 0.0000 0.5000 0.5000  2 Pd 2.41

Calculated values
- Fermi-level density of states (states/eV/f.u.) = 5.43
- E_form (eV per atom) = 1.30


| no. | density (g/cm³) | VASP energy (eV/atom) |
| --- | --- | --- |
| 1 | 13.13 | -5.87 |
| 2 | 8.70 | -5.09 |